(one)
The following is a DFT calculation (PBE-GGA) of a relaxed structure of YTaCl2.

a b c (Å): 6.3551 6.3551 6.3551
angles (deg): 144.94 144.94 50.43
With the nearest neighbours (Å) after each atom.
Sites, in units of the cell vectors:
Cl1 0.0000 0.0000 0.0000  4 Ta 2.71
Ta1 0.5000 0.5000 0.0000  4 Cl 2.71
Cl2 0.2500 0.7500 0.5000  4 Y 2.71
Y1 0.7500 0.2500 0.5000  4 Cl 2.71

Computed properties:
SG: I-4m2, No. 119



(two)
The following is a DFT calculation (PBE-GGA) of a relaxed structure of YTaCl2.

a b c (Å): 9.2754 9.2754 9.2754
angles (deg): 20.03 20.03 20.03
With the nearest neighbours (Å) after each atom.
Sites, in units of the cell vectors:
Cl1 0.9085 0.9085 0.9085  1 Ta 2.49, 3 Y 2.77
Cl2 0.0915 0.0915 0.0915  1 Ta 2.49, 3 Y 2.77
Y1 0.5000 0.5000 0.5000  6 Cl 2.77
Ta1 0.0000 0.0000 0.0000  2 Cl 2.49

Computed properties:
SG: R-3m, No. 166



(two) is favored, and the nearest alternative lies 0.587 eV/atom above it.



(one)
The following is a DFT calculation (PBE-GGA) of a relaxed structure of TaZn2Cl.

a b c (Å): 9.7476 9.7476 9.7476
angles (deg): 18.09 18.09 18.09
With the nearest neighbours (Å) after each atom.
Sites, in units of the cell vectors:
Cl1 0.4763 0.4763 0.4763  3 Ta 2.51
Zn1 0.2700 0.2700 0.2700  3 Zn 2.66
Ta1 0.7477 0.7477 0.7477  3 Cl 2.51, 3 Zn 2.79
Zn2 0.0060 0.0060 0.0060  3 Zn 2.66, 3 Ta 2.79

Computed properties:
SG: R3m, No. 160



(two)
The following is a DFT calculation (PBE-GGA) of a relaxed structure of TaZn2Cl.

a b c (Å): 2.8747 4.3977 5.2623
angles (deg): 90.00 90.00 90.00
With the nearest neighbours (Å) after each atom.
Sites, in units of the cell vectors:
Zn1 0.5000 0.5000 0.0000  6 Zn 2.63-2.87
Cl1 0.5000 0.0000 0.5000  4 Ta 2.63, 2 Cl 2.87
Ta1 0.0000 0.5000 0.5000  4 Cl 2.63, 2 Ta 2.87
Zn2 0.0000 0.0000 0.0000  6 Zn 2.63-2.87

Computed properties:
SG: Pmmm, No. 47



(one) is favored, and the nearest alternative lies 0.415 eV/atom above it.



(one)
The following is a DFT calculation (PBE-GGA) of a relaxed structure of TaZn2Cl.

a b c (Å): 2.9836 2.9836 8.1047
angles (deg): 90.00 90.00 105.58
With the nearest neighbours (Å) after each atom.
Sites, in units of the cell vectors:
Zn1 0.0000 0.0000 0.5009  2 Ta 2.71, 2 Cl 2.72, 4 Zn 2.98
Zn2 0.0000 0.0000 0.9991  2 Ta 2.71, 2 Cl 2.72, 4 Zn 2.98
Ta1 0.5000 0.5000 0.7500  4 Zn 2.71, 4 Ta 2.98
Cl1 0.5000 0.5000 0.2500  4 Zn 2.72, 4 Cl 2.98

Computed properties:
SG: Cmmm, No. 65



(two)
The following is a DFT calculation (PBE-GGA) of a relaxed structure of TaZn2Cl.

a b c (Å): 6.0825 5.0908 2.9094
angles (deg): 89.98 61.46 117.44
With the nearest neighbours (Å) after each atom.
Sites, in units of the cell vectors:
Cl1 0.0000 0.5000 0.5000  2 Ta 2.67, 2 Cl 2.91, 8 Zn 2.93
Ta1 0.5000 0.5000 0.0000  2 Cl 2.67, 2 Ta 2.91, 8 Zn 2.93
Zn1 0.5000 0.0000 0.5000  4 Zn 2.67-2.91, 4 Cl 2.93, 4 Ta 2.93
Zn2 0.0000 0.0000 0.0000  4 Zn 2.67-2.91, 4 Ta 2.93, 4 Cl 2.93

Computed properties:
SG: Cmmm, No. 65



(three)
The following is a DFT calculation (PBE-GGA) of a relaxed structure of TaZn2Cl.

a b c (Å): 2.9823 2.9823 7.8995
angles (deg): 90.00 90.00 90.00
With the nearest neighbours (Å) after each atom.
Sites, in units of the cell vectors:
Ta1 0.5000 0.5000 0.7500  8 Zn 2.84, 4 Ta 2.98
Zn1 0.0000 0.0000 0.9912  4 Ta 2.84, 4 Cl 2.94, 4 Zn 2.98
Cl1 0.5000 0.5000 0.2500  8 Zn 2.94, 4 Cl 2.98
Zn2 0.0000 0.0000 0.5088  4 Ta 2.84, 4 Cl 2.94, 4 Zn 2.98

Computed properties:
SG: P4/mmm, No. 123



(four)
The following is a DFT calculation (PBE-GGA) of a relaxed structure of TaZn2Cl.

a b c (Å): 5.8239 5.8239 4.3420
angles (deg): 80.57 80.57 28.39
With the nearest neighbours (Å) after each atom.
Sites, in units of the cell vectors:
Ta1 0.2500 0.2500 0.2500  4 Cl 2.60, 2 Ta 2.86
Zn1 0.9734 0.9734 0.0211  6 Zn 2.60-2.86
Cl1 0.7500 0.7500 0.7500  4 Ta 2.60, 2 Cl 2.86
Zn2 0.5266 0.5266 0.4789  6 Zn 2.60-2.86

Computed properties:
SG: C2/m, No. 12



(one) is favored, and the nearest alternative lies 0.021 eV/atom above it.